[1]
Compound: NdZnGe2Pd
Source: Alexandria
Functional: PBE
Structure: relaxed

```
5
Lattice="-2.1077 2.1077 5.3704 2.1077 -2.1077 5.3704 2.1077 2.1077 -5.3704" Properties=species:S:1:pos:R:3 pbc="T T T"
Nd 0.0000 0.0000 0.0000
Zn 2.1077 0.0000 2.6852
Ge 0.0000 0.0000 4.1176
Ge 0.0000 0.0000 6.6231
Pd 0.0000 2.1077 2.6852
```

The space-group type is I-4m2. The value obtained for the total magnetization is 0.00 μB per cell.

[2]
Compound: BaAc2Se4
Source: Alexandria
Functional: PBE
Structure: relaxed

```
14
Lattice="2.2486 -7.4656 0.0000 2.2486 7.4656 0.0000 0.0000 0.0000 14.9093" Properties=species:S:1:pos:R:3 pbc="T T T"
Ba 2.2486 5.7748 11.1819
Ba 2.2486 -5.7748 3.7273
Ac 2.2486 1.9886 8.5057
Ac 2.2486 1.9886 13.8581
Ac 2.2486 -1.9886 1.0511
Ac 2.2486 -1.9886 6.4035
Se 0.0000 0.0000 0.0000
Se 0.0000 0.0000 7.4546
Se 2.2486 3.4442 1.7397
Se 2.2486 3.4442 5.7149
Se 2.2486 0.5978 11.1819
Se 2.2486 -0.5978 3.7273
Se 2.2486 -3.4442 9.1943
Se 2.2486 -3.4442 13.1696
```

The space-group type is Cmcm. The value obtained for the total magnetization is 0.00 μB per cell. The formation energy without anion corrections is -14.1 eV per formula unit.

no.,DFT total energy (eV/atom)
1,-4.78
2,-5.46